VASP calculation (PBE-GGA) on a geometry-optimized NaB2Ir2 structure.

- Total magnetic moment: 0.000 μB per atom
- Uncorrected energy: -6.787 eV/atom

a b c (Å): 5.492 5.492 6.034
angles (deg): 106.02 106.02 112.72
Fractional positions:
B  0.557  0.443  0.250
B  0.195  0.805  0.250
B  0.805  0.195  0.750
B  0.443  0.557  0.750
Ir  0.758  0.509  0.014
Ir  0.491  0.242  0.486
Ir  0.509  0.758  0.514
Ir  0.242  0.491  0.986
Na  0.875  0.125  0.250
Na  0.125  0.875  0.750

---

VASP calculation (PBE-GGA) on a geometry-optimized RbLu2CuTe3Se structure.

- Total magnetic moment: 0.000 μB per atom
- Uncorrected energy: -4.494 eV/atom
- Energy above the lowest structure with this stoichiometry: 0 meV per atom

a b c (Å): 7.768 7.768 14.966
angles (deg): 90.00 90.00 148.01
Fractional positions:
Cu  0.160  0.840  0.250
Cu  0.840  0.160  0.750
Lu  0.633  0.367  0.073
Lu  0.633  0.367  0.427
Lu  0.367  0.633  0.573
Lu  0.367  0.633  0.927
Rb  0.900  0.100  0.250
Rb  0.100  0.900  0.750
Se  0.573  0.427  0.250
Se  0.427  0.573  0.750
Te  0.000  0.000  0.000
Te  0.267  0.733  0.110
Te  0.267  0.733  0.390
Te  0.000  0.000  0.500
Te  0.733  0.267  0.610
Te  0.733  0.267  0.890

---

VASP calculation (PBE-GGA) on a geometry-optimized LiFeRePb structure.

- Total magnetic moment: 0.492 μB per atom
- Uncorrected energy: -6.024 eV/atom
- Energy above the lowest structure with this stoichiometry: 0 meV per atom

a b c (Å): 4.359 4.359 4.359
angles (deg): 60.00 60.00 60.00
Fractional positions:
Fe  0.750  0.750  0.750
Li  0.250  0.250  0.250
Pb  0.000  0.000  0.000
Re  0.500  0.500  0.500

---

VASP calculation (PBE-GGA) on a geometry-optimized Y2ErAl3Ni3 structure.

- Total magnetic moment: 0.001 μB per atom
- Uncorrected energy: -5.659 eV/atom

a b c (Å): 3.942 6.885 6.885
angles (deg): 119.77 90.00 90.00
Fractional positions:
Al  0.500  0.235  0.235
Al  0.500  0.000  0.764
Al  0.500  0.764  0.000
Er  0.000  0.586  0.586
Ni  0.500  0.665  0.338
Ni  0.500  0.338  0.665
Ni  0.000  0.996  0.996
Y  0.000  0.416  0.000
Y  0.000  0.000  0.416